(1)
VASP calculation (PBE-GGA) on a geometry-optimized La2NpP3 structure.

POSCAR file:
```
La2NpP3
1.0
-1.057 -3.576 -1.886
3.301 -1.889 1.732
-6.062 0.507 7.065
Np La P
1 2 3
Direct
0.434 0.436 0.874
0.768 0.769 0.541
0.100 0.102 0.206
0.274 0.275 0.554
0.934 0.936 0.874
0.594 0.596 0.194
```

- ρ: 6.54 g/cm³
- Total DFT energy (no corrections): -7.785 eV/atom
- Crystal system: tetragonal

(2)
VASP calculation (PBE-GGA) on a geometry-optimized La3NpP4 structure.

POSCAR file:
```
La3NpP4
1.0
7.249 0.057 0.000
-2.487 6.833 0.000
0.000 0.000 8.389
Np La P
2 6 8
Direct
0.750 0.000 0.877
0.250 0.000 0.123
0.750 0.500 0.626
0.250 0.500 0.876
0.750 0.500 0.124
0.250 0.500 0.374
0.750 0.000 0.374
0.250 0.000 0.626
0.502 0.232 0.884
0.489 0.243 0.365
0.989 0.243 0.635
0.511 0.757 0.635
0.011 0.757 0.365
0.498 0.768 0.116
0.998 0.768 0.884
0.002 0.232 0.116
```

- ρ: 6.20 g/cm³
- Total DFT energy (no corrections): -7.537 eV/atom
- Crystal system: monoclinic